VASP calculation (PBE) on a geometry-optimized Er6CuIr5 structure.

Values from the calculation:
energy of formation = -931 kJ/mol of formula units

Geometry as CIF:
```
data_Er6CuIr5
_space_group_name_H-M_alt 'C m m m'
_space_group_IT_number 65
_space_group_name_Hall '-C 2 2'
_cell_length_a 4.730
_cell_length_b 14.234
_cell_length_c 7.034
_cell_angle_alpha 90.00
_cell_angle_beta 90.00
_cell_angle_gamma 90.00
loop_
_atom_site_label
_atom_site_fract_x
_atom_site_fract_y
_atom_site_fract_z
Er1 0.000 0.000 0.246
Er2 0.000 0.332 0.250
Cu1 0.000 0.500 0.500
Ir1 0.000 0.163 0.500
Ir2 0.000 0.168 0.000
Ir3 0.000 0.500 0.000
```